VASP calculation (PBE with a Hubbard U) on MgCrSnF6 after structural relaxation.

```
MgCrSnF6
1.0
5.476 0.000 0.000
-2.738 4.742 0.000
0.000 0.000 10.250
Mg Cr Sn F
2 2 2 12
Cartesian
0.000 3.162 2.563 Mg
2.738 1.581 7.688 Mg
2.738 1.581 2.563 Cr
0.000 3.162 7.688 Cr
0.000 0.000 0.000 Sn
0.000 0.000 5.125 Sn
1.697 3.072 1.461 F
-0.926 1.737 1.461 F
1.967 0.067 6.586 F
3.664 3.005 8.789 F
0.926 1.737 3.664 F
-1.697 3.072 3.664 F
3.509 0.067 8.789 F
0.771 4.676 3.664 F
4.435 1.670 6.586 F
-0.771 4.676 1.461 F
1.812 3.005 6.586 F
1.041 1.670 8.789 F
```

Final energy, eV/atom: -5.391
SG: No. 163